Cr2AgPb | the Alexandria database | PBE | relaxed; space group = P4/mmm, No. 123; E_form = 0.572 eV/atom; raw total energy = -5.8794 eV/atom; spin magnetization = 7.4 μB/f.u.
1.0
-1.7066 -3.0683 1.6650
-1.7509 -1.1263 -3.8702
3.5386 -2.4500 -0.8878
Pb Cr Ag
1 2 1
direct
0.5000 0.5000 0.0000
0.0000 0.0000 0.0000
0.0000 0.5000 0.5000
0.5000 0.0000 0.5000

CrAg2Pb | the Alexandria database | PBE | relaxed; space group = R-3m, No. 166; E_form = 0.435 eV/atom; raw total energy = -4.3239 eV/atom; spin magnetization = 4.2 μB/f.u.
1.0
9.7072 -0.1202 -0.0705
9.2192 3.0416 -0.0705
9.2192 1.4231 2.6891
Ag Cr Pb
2 1 1
direct
0.9917 0.9917 0.9917
0.5083 0.5083 0.5083
0.2500 0.2500 0.2500
0.7500 0.7500 0.7500

| no. | ρ (Mg/m³) |
| --- | --- |
| 1 | 9.27 |
| 2 | 9.34 |